No. 1
Computed, not measured: LiTlPS2 after structural relaxation at the PBE level of DFT.

a b c (Å): 4.7475 4.7475 4.4763
angles (deg): 90.00 90.00 90.00
Closest atoms and distances in Å follow each position.
Fractional positions:
P 0.0000 0.0000 0.5000  2 Li 2.24
Tl 0.5000 0.5000 0.5000  8 S 3.26, 4 P 3.36
S 0.0000 0.5000 0.0000  2 Li 2.37
S 0.5000 0.0000 0.0000  2 Li 2.37
Li 0.0000 0.0000 0.0000  2 P 2.24, 4 S 2.37

## Properties
The offset from the most stable computed form comes out at 0 meV per atom. The density of states at the Fermi level is 5.2 states/eV/cell. The total magnetization is 0.000 μB/atom. The formation energy without anion corrections comes out at 0.4317 eV/atom.

---

No. 2
Computed, not measured: Li2TlPS4 after structural relaxation at the PBE level of DFT.

a b c (Å): 6.5559 6.2065 6.2065
angles (deg): 83.34 58.12 58.12
Closest atoms and distances in Å follow each position.
Fractional positions:
Li 0.5000 0.7497 0.2503  4 S 2.56
Li 0.5000 0.2503 0.7497  4 S 2.56
Tl 0.0000 0.0000 0.0000  8 S 3.17-3.40
P 0.0000 0.5000 0.5000  4 S 2.06
S 0.6352 0.5391 0.8257  1 P 2.06
S 0.3648 0.1743 0.4609  1 P 2.06
S 0.0000 0.4609 0.1743  1 P 2.06
S 0.0000 0.8257 0.5391  1 P 2.06

## Properties
The density of states at the Fermi level is 0.0 states/eV/cell. The total magnetization is 0.000 μB/atom. The formation energy without anion corrections comes out at -0.7575 eV/atom.

---

No. 3
Computed, not measured: LiTlPS2 after structural relaxation at the PBE level of DFT.

a b c (Å): 5.2741 5.2741 5.1560
angles (deg): 90.00 90.00 90.00
Closest atoms and distances in Å follow each position.
Fractional positions:
P 0.0000 0.0000 0.5000  2 Tl 2.58
Tl 0.0000 0.0000 0.0000  2 P 2.58, 4 S 2.64
S 0.0000 0.5000 0.0000  2 Tl 2.64
S 0.5000 0.0000 0.0000  2 Tl 2.64
Li 0.5000 0.5000 0.5000  8 S 3.69, 4 P 3.73

## Properties
The offset from the most stable computed form comes out at 199 meV per atom. The density of states at the Fermi level is 3.6 states/eV/cell. The total magnetization is 0.371 μB/atom. The formation energy without anion corrections comes out at 0.6302 eV/atom.

---

No. 4
Computed, not measured: LiVP2S after structural relaxation at the PBE level of DFT.

a b c (Å): 4.1781 4.1781 4.6352
angles (deg): 90.00 90.00 90.00
Closest atoms and distances in Å follow each position.
Fractional positions:
P 0.0000 0.5000 0.0000  2 Li 2.09
P 0.5000 0.0000 0.0000  2 Li 2.09
S 0.0000 0.0000 0.5000  2 Li 2.32
Li 0.0000 0.0000 0.0000  4 P 2.09, 2 S 2.32
V 0.5000 0.5000 0.5000  4 S 2.95, 8 P 3.12

## Properties
The offset from the most stable computed form comes out at 783 meV per atom. The density of states at the Fermi level is 5.3 states/eV/cell. The total magnetization is 0.525 μB/atom. The formation energy without anion corrections comes out at 0.7008 eV/atom.